No. 1
Here is Ca3In4O8 after structural relaxation from the Alexandria database. Energies are from PBE.

Unit cell a=6.7047 b=6.7855 c=6.7855 alpha=90.95 beta=119.13 gamma=119.13
Positions (direct):
Ca 0.5000 0.5000 0.0000
Ca 0.5000 0.0000 0.5000
Ca 0.5000 0.5000 0.5000
In 0.5000 0.0000 0.0000
In 0.0000 0.5000 0.0000
In 0.0000 0.0000 0.0000
In 0.0000 0.0000 0.5000
O 0.4627 0.2244 0.2244
O 0.0000 0.7720 0.2280
O 0.9753 0.2229 0.2229
O 0.5000 0.7529 0.2471
O 0.5000 0.2471 0.7529
O 0.0247 0.7771 0.7771
O 0.0000 0.2280 0.7720
O 0.5373 0.7756 0.7756

No. 2
Here is OsRu2Br after structural relaxation from the Alexandria database. Energies are from PBE.

Offset from the most stable computed form   116 meV/atom

Unit cell a=3.6563 b=2.7936 c=7.2805 alpha=67.42 beta=90.00 gamma=90.00
Positions (direct):
Ru 0.0000 0.8791 0.9960
Ru 0.5000 0.1806 0.1940
Os 0.5000 0.5630 0.8122
Br 0.0000 0.8774 0.4978

no.,raw formation energy (eV per formula unit),calculated volume (Å³ per atom)
1,-28.82,14.81
2,2.97,17.17